(1)
Below is an optimized crystal structure of GdY2F, with properties calculated at the PBE level.

## Properties
As for the space group: R-3m. The uncorrected formation energy comes out at -1136 meV per atom. The final energy is -33.43 eV per cell.

Cell lengths 3.6951, 3.6951, 8.8141 Å; angles 77.90, 77.90, 60.00 degrees
With the nearest neighbours (Å) after each atom.
Sites, in units of the cell vectors:
Y  0.7227  0.7227  0.8320  3 F 2.57
Y  0.2773  0.2773  0.1680  3 F 2.57
Gd  0.5000  0.5000  0.5000  6 Y 3.55, 6 Gd 3.70
F  0.0000  0.0000  0.0000  6 Y 2.57

(2)
Below is an optimized crystal structure of Zn3Pd2, with properties calculated at the PBE level.

## Properties
As for the space group: C2/m. The final energy is -16.39 eV per cell. The value obtained for the energy relative to the elements is -2.18 eV per formula unit.

Cell lengths 4.0118, 4.4336, 5.0692 Å; angles 73.22, 66.69, 63.10 degrees
With the nearest neighbours (Å) after each atom.
Sites, in units of the cell vectors:
Zn  0.8052  0.2844  0.1051  4 Zn 2.57-2.83, 4 Pd 2.62-2.74
Zn  0.0000  0.5000  0.5000  6 Pd 2.59-2.75, 2 Zn 2.83
Zn  0.1948  0.7156  0.8949  4 Zn 2.57-2.83, 4 Pd 2.62-2.74
Pd  0.4111  0.8749  0.3030  9 Zn 2.59-2.89, 1 Pd 2.86
Pd  0.5889  0.1251  0.6970  9 Zn 2.59-2.89, 1 Pd 2.86

(3)
Below is an optimized crystal structure of Ba2Si2BOs2, with properties calculated at the PBE level.

## Properties
As for the space group: C2/m. The uncorrected formation energy comes out at -363 meV per atom. The final energy is -46.37 eV per cell.

Cell lengths 4.3337, 6.2672, 6.8753 Å; angles 74.44, 71.63, 69.77 degrees
With the nearest neighbours (Å) after each atom.
Sites, in units of the cell vectors:
Ba  0.5626  0.1954  0.6795  2 B 3.09, 1 Si 3.24
Ba  0.4374  0.8046  0.3205  2 B 3.09, 1 Si 3.24
Si  0.2125  0.3635  0.2114  3 Os 2.38-2.40
Si  0.7875  0.6365  0.7886  3 Os 2.38-2.40
B  0.0000  0.0000  0.0000  2 Os 2.00
Os  0.1945  0.6844  0.9267  1 B 2.00
Os  0.8055  0.3156  0.0733  1 B 2.00

(4)
Below is an optimized crystal structure of TbAsRh3, with properties calculated at the PBE level.

## Properties
As for the space group: I4mm. The energy relative to the lowest polymorph listed for this composition comes out at 0.000 eV per atom. The final energy is -34.89 eV per cell. The value obtained for the energy relative to the elements is -3.56 eV per formula unit.

Cell lengths 4.0284, 4.0275, 6.1559 Å; angles 70.89, 70.89, 90.00 degrees
With the nearest neighbours (Å) after each atom.
Sites, in units of the cell vectors:
Tb  0.3883  0.1918  0.9286  8 Rh 2.98-3.34, 4 As 3.20
As  0.0216  0.8250  0.6623  5 Rh 2.33-2.42
Rh  0.6448  0.9483  0.4157  2 As 2.42, 2 Rh 2.69
Rh  0.1448  0.4483  0.4156  2 As 2.42, 2 Rh 2.69
Rh  0.8082  0.6117  0.0889  1 As 2.33

(5)
Below is an optimized crystal structure of Tl2IrCl5, with properties calculated at the PBE level.

## Properties
As for the space group: I4mm. The uncorrected formation energy comes out at -658 meV per atom. The energy relative to the lowest polymorph listed for this composition comes out at 0.072 eV per atom. The final energy is -28.09 eV per cell.

Cell lengths 7.3620, 7.3621, 6.8723 Å; angles 122.38, 122.38, 90.01 degrees
With the nearest neighbours (Å) after each atom.
Sites, in units of the cell vectors:
Tl  0.2510  0.7510  0.5019  10 Cl 3.40-3.68
Tl  0.7509  0.2511  0.5019  10 Cl 3.40-3.68
Ir  0.9954  0.9954  0.9909  5 Cl 2.25-2.35
Cl  0.7839  0.2337  0.0177  1 Ir 2.35
Cl  0.2338  0.2338  0.0177  1 Ir 2.35
Cl  0.7838  0.7838  0.0176  1 Ir 2.35
Cl  0.2337  0.7838  0.0176  1 Ir 2.35
Cl  0.7444  0.7444  0.4889  1 Ir 2.25

(6)
Below is an optimized crystal structure of Ho3InHg2, with properties calculated at the PBE level.

## Properties
As for the space group: P4/mmm. The final energy is -19.89 eV per cell. The value obtained for the energy relative to the elements is -2.82 eV per formula unit.

Cell lengths 3.7282, 3.7282, 11.1190 Å; angles 90.00, 90.00, 90.00 degrees
With the nearest neighbours (Å) after each atom.
Sites, in units of the cell vectors:
Ho  0.0000  0.0000  0.0000  8 Hg 3.21
Ho  0.0000  0.0000  0.6726  4 Hg 3.20, 4 In 3.26
Ho  0.0000  0.0000  0.3274  4 Hg 3.20, 4 In 3.26
In  0.5000  0.5000  0.5000  8 Ho 3.26
Hg  0.5000  0.5000  0.8360  8 Ho 3.20-3.21
Hg  0.5000  0.5000  0.1640  8 Ho 3.20-3.21